<i>
Compound: LaErAu4
Source: Alexandria
Functional: GGA-PBE
Structure: relaxed

Geometry as CIF:
```
data_LaErAu4
_cell_length_a 5.279
_cell_length_b 3.831
_cell_length_c 7.783
_cell_angle_alpha 76.03
_cell_angle_beta 99.77
_cell_angle_gamma 68.42
_symmetry_space_group_name_H-M 'P 1'
_symmetry_Int_Tables_number 1
_symmetry_space_group_name_Hall 'P 1'
loop_
_atom_site_label
_atom_site_type_symbol
_atom_site_fract_x
_atom_site_fract_y
_atom_site_fract_z
Au1 Au 0.510 0.822 0.341
Au2 Au 0.986 0.358 0.801
Au3 Au 0.017 0.637 0.196
Au4 Au 0.493 0.172 0.656
La1 La 0.501 0.497 0.998
Er1 Er 0.001 0.997 0.498
```

Results
- Magnetization: 0.000 μB/f.u.
- Space group: P-1, No. 2
- Calculated volume: 136.1 Å³/cell



<ii>
Compound: LaErAu4
Source: Alexandria
Functional: GGA-PBE
Structure: relaxed

Geometry as CIF:
```
data_LaErAu4
_cell_length_a 3.797
_cell_length_b 3.797
_cell_length_c 9.357
_cell_angle_alpha 90.00
_cell_angle_beta 90.00
_cell_angle_gamma 90.00
_symmetry_space_group_name_H-M 'P 1'
_symmetry_Int_Tables_number 1
_symmetry_space_group_name_Hall 'P 1'
loop_
_atom_site_label
_atom_site_type_symbol
_atom_site_fract_x
_atom_site_fract_y
_atom_site_fract_z
Au1 Au 0.000 0.000 0.657
Au2 Au 0.000 0.000 0.343
Au3 Au 0.500 0.500 0.179
Au4 Au 0.500 0.500 0.821
La1 La 0.000 0.000 0.000
Er1 Er 0.500 0.500 0.500
```

Results
- Magnetization: 0.000 μB/f.u.
- Space group: P4/mmm, No. 123
- Calculated volume: 134.9 Å³/cell



Most stable: <i> (next structure +6 meV per atom)



<i>
Compound: LaErPdAu
Source: Alexandria
Functional: GGA-PBE
Structure: relaxed

Geometry as CIF:
```
data_LaErPdAu
_cell_length_a 5.145
_cell_length_b 5.145
_cell_length_c 5.145
_cell_angle_alpha 60.00
_cell_angle_beta 60.00
_cell_angle_gamma 60.00
_symmetry_space_group_name_H-M 'P 1'
_symmetry_Int_Tables_number 1
_symmetry_space_group_name_Hall 'P 1'
loop_
_atom_site_label
_atom_site_type_symbol
_atom_site_fract_x
_atom_site_fract_y
_atom_site_fract_z
Au1 Au 0.000 0.000 0.000
Er1 Er 0.250 0.250 0.250
Pd1 Pd 0.500 0.500 0.500
La1 La 0.750 0.750 0.750
```

Results
- Magnetization: 0.002 μB/f.u.
- Space group: F-43m, No. 216
- Calculated volume: 96.3 Å³/cell



<ii>
Compound: LaErPdAu
Source: Alexandria
Functional: GGA-PBE
Structure: relaxed

Geometry as CIF:
```
data_LaErPdAu
_cell_length_a 3.849
_cell_length_b 4.827
_cell_length_c 5.685
_cell_angle_alpha 90.00
_cell_angle_beta 109.79
_cell_angle_gamma 90.00
_symmetry_space_group_name_H-M 'P 1'
_symmetry_Int_Tables_number 1
_symmetry_space_group_name_Hall 'P 1'
loop_
_atom_site_label
_atom_site_type_symbol
_atom_site_fract_x
_atom_site_fract_y
_atom_site_fract_z
Er1 Er 0.865 0.500 0.731
La1 La 0.140 0.000 0.281
Au1 Au 0.583 0.500 0.165
Pd1 Pd 0.412 0.000 0.823
```

Results
- Magnetization: 0.000 μB/f.u.
- Space group: Amm2, No. 38
- Calculated volume: 99.4 Å³/cell



Most stable: <ii> (next structure +54 meV per atom)



<i>
Compound: LaErZnAu
Source: Alexandria
Functional: GGA-PBE
Structure: relaxed

Geometry as CIF:
```
data_LaErZnAu
_cell_length_a 3.645
_cell_length_b 3.645
_cell_length_c 7.391
_cell_angle_alpha 90.00
_cell_angle_beta 90.00
_cell_angle_gamma 90.00
_symmetry_space_group_name_H-M 'P 1'
_symmetry_Int_Tables_number 1
_symmetry_space_group_name_Hall 'P 1'
loop_
_atom_site_label
_atom_site_type_symbol
_atom_site_fract_x
_atom_site_fract_y
_atom_site_fract_z
La1 La 0.500 0.500 0.612
Zn1 Zn 0.000 0.000 0.884
Au1 Au 0.000 0.000 0.321
Er1 Er 0.500 0.500 0.110
```

Results
- Magnetization: 0.032 μB/f.u.
- Space group: P4mm, No. 99
- Calculated volume: 98.2 Å³/cell



<ii>
Compound: LaErZnAu
Source: Alexandria
Functional: GGA-PBE
Structure: relaxed

Geometry as CIF:
```
data_LaErZnAu
_cell_length_a 5.197
_cell_length_b 5.197
_cell_length_c 5.197
_cell_angle_alpha 60.00
_cell_angle_beta 60.00
_cell_angle_gamma 60.00
_symmetry_space_group_name_H-M 'P 1'
_symmetry_Int_Tables_number 1
_symmetry_space_group_name_Hall 'P 1'
loop_
_atom_site_label
_atom_site_type_symbol
_atom_site_fract_x
_atom_site_fract_y
_atom_site_fract_z
Au1 Au 0.500 0.500 0.500
La1 La 0.250 0.250 0.250
Er1 Er 0.750 0.750 0.750
Zn1 Zn 0.000 0.000 0.000
```

Results
- Magnetization: 0.001 μB/f.u.
- Space group: F-43m, No. 216
- Calculated volume: 99.3 Å³/cell



Most stable: <i> (next structure +33 meV per atom)



<i>
Compound: LiEr2Au3
Source: Alexandria
Functional: GGA-PBE
Structure: relaxed

Geometry as CIF:
```
data_LiEr2Au3
_cell_length_a 4.864
_cell_length_b 7.115
_cell_length_c 8.541
_cell_angle_alpha 114.62
_cell_angle_beta 106.54
_cell_angle_gamma 90.00
_symmetry_space_group_name_H-M 'P 1'
_symmetry_Int_Tables_number 1
_symmetry_space_group_name_Hall 'P 1'
loop_
_atom_site_label
_atom_site_type_symbol
_atom_site_fract_x
_atom_site_fract_y
_atom_site_fract_z
Er1 Er 0.340 0.340 0.679
Er2 Er 0.660 0.660 0.321
Er3 Er 0.340 0.840 0.679
Er4 Er 0.660 0.160 0.321
Li1 Li 0.000 0.000 0.000
Li2 Li 0.000 0.500 0.000
Au1 Au 0.827 0.577 0.655
Au2 Au 0.173 0.423 0.345
Au3 Au 0.827 0.077 0.655
Au4 Au 0.173 0.923 0.345
Au5 Au 0.500 0.250 0.000
Au6 Au 0.500 0.750 0.000
```

Results
- Magnetization: 0.000 μB/f.u.
- Space group: Cmmm, No. 65
- Calculated volume: 255.2 Å³/cell



<ii>
Compound: LiEr2Au3
Source: Alexandria
Functional: GGA-PBE
Structure: relaxed

Geometry as CIF:
```
data_LiEr2Au3
_cell_length_a 4.936
_cell_length_b 4.936
_cell_length_c 11.923
_cell_angle_alpha 90.00
_cell_angle_beta 90.00
_cell_angle_gamma 120.00
_symmetry_space_group_name_H-M 'P 1'
_symmetry_Int_Tables_number 1
_symmetry_space_group_name_Hall 'P 1'
loop_
_atom_site_label
_atom_site_type_symbol
_atom_site_fract_x
_atom_site_fract_y
_atom_site_fract_z
Au1 Au 0.333 0.667 0.923
Au2 Au 0.000 0.000 0.750
Au3 Au 0.333 0.667 0.432
Au4 Au 0.667 0.333 0.568
Au5 Au 0.667 0.333 0.077
Au6 Au 0.000 0.000 0.250
Er1 Er 0.000 0.000 0.000
Er2 Er 0.000 0.000 0.500
Er3 Er 0.333 0.667 0.184
Er4 Er 0.667 0.333 0.816
Li1 Li 0.667 0.333 0.331
Li2 Li 0.333 0.667 0.669
```

Results
- Magnetization: 0.000 μB/f.u.
- Space group: P-3m1, No. 164
- Calculated volume: 251.6 Å³/cell



Most stable: <ii> (next structure +39 meV per atom)



<i>
Compound: LiErAu4
Source: Alexandria
Functional: GGA-PBE
Structure: relaxed

Geometry as CIF:
```
data_LiErAu4
_cell_length_a 4.252
_cell_length_b 4.253
_cell_length_c 7.175
_cell_angle_alpha 90.03
_cell_angle_beta 90.02
_cell_angle_gamma 98.98
_symmetry_space_group_name_H-M 'P 1'
_symmetry_Int_Tables_number 1
_symmetry_space_group_name_Hall 'P 1'
loop_
_atom_site_label
_atom_site_type_symbol
_atom_site_fract_x
_atom_site_fract_y
_atom_site_fract_z
Au1 Au 0.001 0.497 0.716
Au2 Au 0.001 0.497 0.280
Au3 Au 0.501 0.997 0.716
Au4 Au 0.501 0.998 0.280
Li1 Li 0.001 0.997 0.498
Er1 Er 0.501 0.497 0.998
```

Results
- Magnetization: 0.000 μB/f.u.
- Space group: Cmmm, No. 65
- Calculated volume: 128.2 Å³/cell



<ii>
Compound: LiErAu4
Source: Alexandria
Functional: GGA-PBE
Structure: relaxed

Geometry as CIF:
```
data_LiErAu4
_cell_length_a 5.096
_cell_length_b 5.139
_cell_length_c 5.125
_cell_angle_alpha 59.91
_cell_angle_beta 90.11
_cell_angle_gamma 90.23
_symmetry_space_group_name_H-M 'P 1'
_symmetry_Int_Tables_number 1
_symmetry_space_group_name_Hall 'P 1'
loop_
_atom_site_label
_atom_site_type_symbol
_atom_site_fract_x
_atom_site_fract_y
_atom_site_fract_z
Au1 Au 0.001 0.833 0.833
Au2 Au 0.501 0.664 0.171
Au3 Au 0.001 0.170 0.158
Au4 Au 0.501 0.340 0.820
Li1 Li 0.001 0.502 0.496
Er1 Er 0.501 0.002 0.495
```

Results
- Magnetization: 0.000 μB/f.u.
- Space group: C2/m, No. 12
- Calculated volume: 116.1 Å³/cell



<iii>
Compound: LiErAu4
Source: Alexandria
Functional: GGA-PBE
Structure: relaxed

Geometry as CIF:
```
data_LiErAu4
_cell_length_a 5.538
_cell_length_b 5.538
_cell_length_c 5.538
_cell_angle_alpha 60.00
_cell_angle_beta 60.00
_cell_angle_gamma 60.00
_symmetry_space_group_name_H-M 'P 1'
_symmetry_Int_Tables_number 1
_symmetry_space_group_name_Hall 'P 1'
loop_
_atom_site_label
_atom_site_type_symbol
_atom_site_fract_x
_atom_site_fract_y
_atom_site_fract_z
Au1 Au 0.126 0.625 0.625
Au2 Au 0.625 0.625 0.126
Au3 Au 0.625 0.625 0.625
Au4 Au 0.625 0.126 0.625
Er1 Er 0.000 0.000 0.000
Li1 Li 0.250 0.250 0.250
```

Results
- Magnetization: 0.000 μB/f.u.
- Space group: F-43m, No. 216
- Calculated volume: 120.1 Å³/cell



Most stable: <ii> (next structure +123 meV per atom)



<i>
Compound: LiErAu
Source: Alexandria
Functional: GGA-PBE
Structure: relaxed

Geometry as CIF:
```
data_LiErAu
_cell_length_a 4.077
_cell_length_b 7.328
_cell_length_c 7.328
_cell_angle_alpha 120.00
_cell_angle_beta 90.00
_cell_angle_gamma 90.00
_symmetry_space_group_name_H-M 'P 1'
_symmetry_Int_Tables_number 1
_symmetry_space_group_name_Hall 'P 1'
loop_
_atom_site_label
_atom_site_type_symbol
_atom_site_fract_x
_atom_site_fract_y
_atom_site_fract_z
Er1 Er 0.500 0.589 0.000
Er2 Er 0.500 0.000 0.589
Er3 Er 0.500 0.411 0.411
Li1 Li 0.000 0.239 0.000
Li2 Li 0.000 0.761 0.761
Li3 Li 0.000 0.000 0.239
Au1 Au 0.000 0.667 0.333
Au2 Au 0.000 0.333 0.667
Au3 Au 0.500 0.000 0.000
```

Results
- Magnetization: 0.000 μB/f.u.
- Space group: P-62m, No. 189
- Calculated volume: 189.6 Å³/cell



<ii>
Compound: LiErAu
Source: Alexandria
Functional: GGA-PBE
Structure: relaxed

Geometry as CIF:
```
data_LiErAu
_cell_length_a 3.580
_cell_length_b 4.469
_cell_length_c 4.469
_cell_angle_alpha 120.00
_cell_angle_beta 90.00
_cell_angle_gamma 90.00
_symmetry_space_group_name_H-M 'P 1'
_symmetry_Int_Tables_number 1
_symmetry_space_group_name_Hall 'P 1'
loop_
_atom_site_label
_atom_site_type_symbol
_atom_site_fract_x
_atom_site_fract_y
_atom_site_fract_z
Er1 Er 0.667 0.667 0.333
Au1 Au 0.166 0.333 0.667
Li1 Li 0.167 0.000 0.000
```

Results
- Magnetization: 0.000 μB/f.u.
- Space group: P-6m2, No. 187
- Calculated volume: 61.9 Å³/cell



Most stable: <i> (next structure +112 meV per atom)